(1)
Ba2WAu | PBE-GGA | optimized geometry

Its crystal system is orthorhombic. As for the energy of formation: 706 meV/atom.

The space group is Pmmm (No. 47) and the conventional cell measures 3.933, 3.943 and 8.209 Å, with angles of 90.00, 90.00 and 90.00 degrees. Symmetry generates all atoms from Ba at (0.000, 0.000, 0.249), W at (0.500, 0.500, 0.500) and Au at (0.500, 0.500, 0.000).


(2)
Er2Al2Ga3 | PBE-GGA | optimized geometry

Its crystal system is trigonal. As for the energy of formation: -311 meV/atom.

The space group is R-3m (No. 166, hexagonal axes) and the conventional cell measures 5.7237, 5.7237 and 15.5652 Å, with angles of 90.00, 90.00 and 120.00 degrees. Symmetry generates all atoms from Er at (0.0000, 0.0000, 0.0000), Er at (0.0000, 0.0000, 0.5000), Al at (0.0000, 0.0000, 0.1971) and Ga at (0.0000, 0.5000, 0.0000).


(3)
PuScBi | PBE-GGA | optimized geometry

Its crystal system is trigonal. As for the energy of formation: -170 meV/atom.

The space group is P3m1 (No. 156) and the conventional cell measures 5.0877, 5.0877 and 3.7034 Å, with angles of 90.00, 90.00 and 120.00 degrees. Symmetry generates all atoms from Pu at (0.0000, 0.0000, 0.0000), Sc at (0.6667, 0.3333, 0.4994) and Bi at (0.3333, 0.6667, 0.5012).


(4)
CoRe | PBE-GGA | optimized geometry

Its crystal system is hexagonal. As for the energy of formation: 1005 meV/atom.

The space group is P6_3/m (No. 176) and the conventional cell measures 9.9448, 9.9448 and 2.6378 Å, with angles of 90.00, 90.00 and 120.00 degrees. Symmetry generates all atoms from Co at (0.2216, 0.5080, 0.2500) and Re at (0.0183, 0.6187, 0.2500).


(5)
PuAgPb | PBE-GGA | optimized geometry

Its crystal system is tetragonal. As for the energy of formation: 62 meV/atom.

The space group is I4mm (No. 107) and the conventional cell measures 3.364, 3.364 and 13.378 Å, with angles of 90.00, 90.00 and 90.00 degrees. Symmetry generates all atoms from Pu at (0.000, 0.000, 0.000), Ag at (0.000, 0.000, 0.341) and Pb at (0.000, 0.000, 0.687).


(6)
PmReSi2 | PBE-GGA | optimized geometry

Its crystal system is tetragonal.

The space group is P4/mmm (No. 123) and the conventional cell measures 3.152, 3.152 and 7.009 Å, with angles of 90.00, 90.00 and 90.00 degrees. Symmetry generates all atoms from Pm at (0.000, 0.000, 0.000), Re at (0.000, 0.000, 0.500) and Si at (0.500, 0.500, 0.311).


| no. | total energy (eV per atom) |
| --- | --- |
| 1 | -4.3129 |
| 2 | -3.9812 |
| 3 | -8.3515 |
| 4 | -8.7721 |
| 5 | -6.9016 |
| 6 | -7.3042 |